[1]
This record from Alexandria via LeMat-Bulk describes HoHf2Fe9 after structural relaxation. The functional is GGA-PBE.

```
12
Lattice="4.760 0.000 1.417 2.169 4.237 1.417 0.082 0.050 8.431" Properties=species:S:1:pos:R:3 pbc="T T T"
Fe 4.124 2.522 7.946
Fe 1.723 2.522 7.231
Fe 3.982 3.903 4.033
Fe 2.887 1.765 3.319
Fe 3.506 2.144 5.632
Fe 4.704 2.876 10.313
Hf 1.036 0.633 5.225
Fe 3.030 0.384 7.231
Ho 0.000 0.000 0.000
Fe 5.289 1.765 4.033
Fe 2.308 1.411 0.951
Hf 5.976 3.654 6.039
```

Calculated values
* ΔH_f (0 K): -21.57 kJ/mol of atoms

[2]
This record from Alexandria via LeMat-Bulk describes DyTm4Ni4 after structural relaxation. The functional is GGA-PBE.

```
18
Lattice="5.494 0.000 0.000 0.000 8.487 0.000 0.000 0.000 8.487" Properties=species:S:1:pos:R:3 pbc="T T T"
Dy 0.000 0.000 0.000
Tm 0.553 6.956 3.503
Tm 3.300 7.747 5.774
Ni 0.613 7.349 6.142
Tm 4.941 4.984 6.956
Tm 2.194 2.713 7.747
Ni 2.134 3.106 1.898
Ni 3.360 6.589 3.106
Dy 2.747 4.243 4.243
Tm 3.300 0.740 2.713
Ni 3.360 1.898 5.381
Tm 0.553 1.531 4.984
Ni 4.881 6.142 1.138
Ni 0.613 1.138 2.345
Ni 4.881 2.345 7.349
Tm 4.941 3.503 1.531
Ni 2.134 5.381 6.589
Tm 2.194 5.774 0.740
```

Calculated values
* ΔH_f (0 K): -28.48 kJ/mol of atoms

[3]
This record from Alexandria via LeMat-Bulk describes PmErHgRu after structural relaxation. The functional is GGA-PBE.

```
4
Lattice="5.074 0.000 0.000 2.537 4.394 0.000 2.537 1.465 4.143" Properties=species:S:1:pos:R:3 pbc="T T T"
Er 2.537 1.465 1.036
Ru 5.074 2.929 2.071
Pm 7.610 4.394 3.107
Hg 0.000 0.000 0.000
```

Calculated values
* ΔH_f (0 K): -30.37 kJ/mol of atoms